# 1
Density functional theory data (PBE) for a relaxed structure of GaSbRu2W.

Lattice parameters (Å, degrees): 4.7840 4.7840 4.8782 90.00 90.00 90.00
Element x y z (fractional)
1 Ga 0.0000 0.0000 0.0000
2 Sb 0.5000 0.5000 0.0000
3 Ru 0.0000 0.5000 0.5000
4 Ru 0.5000 0.0000 0.5000
5 W 0.0000 0.0000 0.5000

Properties
Its uncorrected formation energy is 1.1852 eV/atom.



# 2
Density functional theory data (PBE) for a relaxed structure of ZrGa2SbRu.

Lattice parameters (Å, degrees): 5.0596 5.0596 4.8000 90.00 90.00 90.00
Element x y z (fractional)
1 Zr 0.0000 0.0000 0.0000
2 Ga 0.0000 0.5000 0.5000
3 Ga 0.5000 0.0000 0.5000
4 Sb 0.5000 0.5000 0.5000
5 Ru 0.5000 0.5000 0.0000

Properties
Its uncorrected formation energy is 0.9964 eV/atom.



# 3
Density functional theory data (PBE) for a relaxed structure of Sc4GaRu2.

Lattice parameters (Å, degrees): 7.2381 7.2381 7.2381 139.20 139.20 59.07
Element x y z (fractional)
1 Sc 0.0000 0.5000 0.5000
2 Sc 0.2098 0.2098 0.0000
3 Sc 0.5000 0.0000 0.5000
4 Sc 0.7902 0.7902 0.0000
5 Ga 0.0000 0.0000 0.0000
6 Ru 0.3969 0.3969 0.0000
7 Ru 0.6031 0.6031 0.0000

Properties
The value obtained for the formation energy is 0.194 eV/atom.



# 4
Density functional theory data (PBE) for a relaxed structure of Sc2GaRu2.

Lattice parameters (Å, degrees): 6.6076 6.6076 4.0221 90.00 90.00 90.00
Element x y z (fractional)
1 Sc 0.1716 0.3284 0.0000
2 Sc 0.3284 0.8284 0.0000
3 Sc 0.6716 0.1716 0.0000
4 Sc 0.8284 0.6716 0.0000
5 Ga 0.0000 0.0000 0.5000
6 Ga 0.5000 0.5000 0.5000
7 Ru 0.1416 0.6416 0.5000
8 Ru 0.3584 0.1416 0.5000
9 Ru 0.6416 0.8584 0.5000
10 Ru 0.8584 0.3584 0.5000

Properties
The value obtained for the formation energy is -0.527 eV/atom.



# 5
Density functional theory data (PBE) for a relaxed structure of Sc6Ga5Ru.

Lattice parameters (Å, degrees): 7.4337 7.4337 6.6508 90.00 90.00 143.12
Element x y z (fractional)
1 Sc 0.0000 0.0000 0.2502
2 Sc 0.0000 0.0000 0.7498
3 Sc 0.3360 0.6640 0.2445
4 Sc 0.3360 0.6640 0.7555
5 Sc 0.6640 0.3360 0.2445
6 Sc 0.6640 0.3360 0.7555
7 Ga 0.1617 0.8383 0.0000
8 Ga 0.1704 0.8296 0.5000
9 Ga 0.5000 0.5000 0.5000
10 Ga 0.8296 0.1704 0.5000
11 Ga 0.8383 0.1617 0.0000
12 Ru 0.5000 0.5000 0.0000

Properties
The value obtained for the formation energy is -0.632 eV/atom.



# 6
Density functional theory data (PBE) for a relaxed structure of ScGaRu2.

Lattice parameters (Å, degrees): 4.3297 4.3297 3.2249 90.00 90.00 90.00
Element x y z (fractional)
1 Sc 0.0000 0.0000 0.0000
2 Ga 0.5000 0.5000 0.0000
3 Ru 0.0000 0.5000 0.5000
4 Ru 0.5000 0.0000 0.5000

Properties
The value obtained for the formation energy is -0.477 eV/atom.



# 7
Density functional theory data (PBE) for a relaxed structure of Sc4GaRu.

Lattice parameters (Å, degrees): 7.9075 7.9075 7.9075 33.74 33.74 33.74
Element x y z (fractional)
1 Sc 0.1178 0.1178 0.1178
2 Sc 0.3693 0.3693 0.3693
3 Sc 0.6307 0.6307 0.6307
4 Sc 0.8822 0.8822 0.8822
5 Ga 0.5000 0.5000 0.5000
6 Ru 0.0000 0.0000 0.0000

Properties
The value obtained for the formation energy is -0.297 eV/atom.



# 8
Density functional theory data (PBE) for a relaxed structure of Sc4GaRu.

Lattice parameters (Å, degrees): 3.2305 3.2305 11.7495 90.00 90.00 90.00
Element x y z (fractional)
1 Sc 0.0000 0.0000 0.1311
2 Sc 0.0000 0.0000 0.8689
3 Sc 0.5000 0.5000 0.3478
4 Sc 0.5000 0.5000 0.6522
5 Ga 0.0000 0.0000 0.5000
6 Ru 0.5000 0.5000 0.0000

Properties
The value obtained for the formation energy is -0.421 eV/atom.



# 9
Density functional theory data (PBE) for a relaxed structure of Sc3Ga2Ru.

Lattice parameters (Å, degrees): 3.3030 3.3030 9.9648 90.00 90.00 90.00
Element x y z (fractional)
1 Sc 0.0000 0.0000 0.0000
2 Sc 0.0000 0.0000 0.3475
3 Sc 0.0000 0.0000 0.6525
4 Ga 0.5000 0.5000 0.1752
5 Ga 0.5000 0.5000 0.8248
6 Ru 0.5000 0.5000 0.5000

Properties
The value obtained for the formation energy is -0.657 eV/atom.



# 10
Density functional theory data (PBE) for a relaxed structure of ScGa2Ru2.

Lattice parameters (Å, degrees): 7.1354 7.1354 3.0463 90.00 90.00 90.00
Element x y z (fractional)
1 Sc 0.0000 0.0000 0.0000
2 Sc 0.5000 0.5000 0.0000
3 Ga 0.1294 0.3706 0.0000
4 Ga 0.3706 0.8706 0.0000
5 Ga 0.6294 0.1294 0.0000
6 Ga 0.8706 0.6294 0.0000
7 Ru 0.1680 0.6680 0.5000
8 Ru 0.3320 0.1680 0.5000
9 Ru 0.6680 0.8320 0.5000
10 Ru 0.8320 0.3320 0.5000

Properties
The value obtained for the formation energy is -0.499 eV/atom.



# 11
Density functional theory data (PBE) for a relaxed structure of Sc5Ga4Ru.

Lattice parameters (Å, degrees): 3.3132 3.3132 16.7848 90.00 90.00 90.00
Element x y z (fractional)
1 Sc 0.0000 0.0000 0.0000
2 Sc 0.0000 0.0000 0.2054
3 Sc 0.0000 0.0000 0.4095
4 Sc 0.0000 0.0000 0.5905
5 Sc 0.0000 0.0000 0.7946
6 Ga 0.5000 0.5000 0.1029
7 Ga 0.5000 0.5000 0.3083
8 Ga 0.5000 0.5000 0.6917
9 Ga 0.5000 0.5000 0.8971
10 Ru 0.5000 0.5000 0.5000

Properties
The value obtained for the formation energy is -0.631 eV/atom.



# 12
Density functional theory data (PBE) for a relaxed structure of ScGa3Ru.

Lattice parameters (Å, degrees): 6.2680 6.2680 6.2680 90.00 90.00 90.00
Element x y z (fractional)
1 Sc 0.0000 0.0000 0.5000
2 Sc 0.0000 0.5000 0.0000
3 Sc 0.5000 0.0000 0.0000
4 Ga 0.0000 0.0000 0.0000
5 Ga 0.2806 0.2806 0.2806
6 Ga 0.2806 0.2806 0.7194
7 Ga 0.2806 0.7194 0.2806
8 Ga 0.2806 0.7194 0.7194
9 Ga 0.7194 0.2806 0.2806
10 Ga 0.7194 0.2806 0.7194
11 Ga 0.7194 0.7194 0.2806
12 Ga 0.7194 0.7194 0.7194
13 Ru 0.0000 0.5000 0.5000
14 Ru 0.5000 0.0000 0.5000
15 Ru 0.5000 0.5000 0.0000

Properties
The value obtained for the formation energy is -0.577 eV/atom.



# 13
Density functional theory data (PBE) for a relaxed structure of Sc6Ga3Ru.

Lattice parameters (Å, degrees): 8.3205 4.7665 10.3831 90.00 108.63 90.00
Element x y z (fractional)
1 Sc 0.0363 0.2500 0.4111
2 Sc 0.1682 0.7500 0.1702
3 Sc 0.2674 0.2500 0.0039
4 Sc 0.3496 0.7500 0.8191
5 Sc 0.3683 0.2500 0.3362
6 Sc 0.3954 0.2500 0.6335
7 Sc 0.6046 0.7500 0.3665
8 Sc 0.6317 0.7500 0.6638
9 Sc 0.6504 0.2500 0.1809
10 Sc 0.7326 0.7500 0.9961
11 Sc 0.8318 0.2500 0.8298
12 Sc 0.9637 0.7500 0.5889
13 Ga 0.0244 0.7500 0.8813
14 Ga 0.1127 0.2500 0.7166
15 Ga 0.2773 0.7500 0.4736
16 Ga 0.7227 0.2500 0.5264
17 Ga 0.8873 0.7500 0.2834
18 Ga 0.9756 0.2500 0.1187
19 Ru 0.4559 0.7500 0.0976
20 Ru 0.5441 0.2500 0.9024

Properties
The value obtained for the formation energy is -0.519 eV/atom.



# 14
Density functional theory data (PBE) for a relaxed structure of ScGa4Ru.

Lattice parameters (Å, degrees): 7.3128 7.3128 4.8700 90.00 90.00 90.00
Element x y z (fractional)
1 Sc 0.2500 0.7500 0.2500
2 Sc 0.7500 0.2500 0.7500
3 Ga 0.0799 0.2500 0.2304
4 Ga 0.2500 0.0799 0.7304
5 Ga 0.2500 0.4201 0.7304
6 Ga 0.4201 0.2500 0.2304
7 Ga 0.5799 0.7500 0.7696
8 Ga 0.7500 0.5799 0.2696
9 Ga 0.7500 0.9201 0.2696
10 Ga 0.9201 0.7500 0.7696
11 Ru 0.2500 0.7500 0.7500
12 Ru 0.7500 0.2500 0.2500

Properties
The value obtained for the formation energy is -0.070 eV/atom.



# 15
Density functional theory data (PBE) for a relaxed structure of ScGa2Ru3.

Lattice parameters (Å, degrees): 6.8789 6.8789 3.1441 90.00 90.00 143.37
Element x y z (fractional)
1 Sc 0.0000 0.0000 0.0000
2 Ga 0.3417 0.6583 0.0000
3 Ga 0.6583 0.3417 0.0000
4 Ru 0.1808 0.8192 0.5000
5 Ru 0.5000 0.5000 0.5000
6 Ru 0.8192 0.1808 0.5000

Properties
The value obtained for the formation energy is -0.449 eV/atom.



# 16
Density functional theory data (PBE) for a relaxed structure of Sc2GaRu3.

Lattice parameters (Å, degrees): 5.1066 5.1066 5.1066 62.64 62.64 62.64
Element x y z (fractional)
1 Sc 0.1251 0.1251 0.1251
2 Sc 0.8749 0.8749 0.8749
3 Ga 0.5000 0.5000 0.5000
4 Ru 0.0000 0.5000 0.5000
5 Ru 0.5000 0.0000 0.5000
6 Ru 0.5000 0.5000 0.0000

Properties
The value obtained for the formation energy is -0.444 eV/atom.



# 17
Density functional theory data (PBE) for a relaxed structure of ScGa3Ru.

Lattice parameters (Å, degrees): 6.4601 6.4601 8.8900 90.00 90.00 112.27
Element x y z (fractional)
1 Sc 0.1327 0.8673 0.7500
2 Sc 0.3491 0.6509 0.2500
3 Sc 0.6509 0.3491 0.7500
4 Sc 0.8673 0.1327 0.2500
5 Ga 0.1034 0.8966 0.0862
6 Ga 0.1034 0.8966 0.4138
7 Ga 0.1772 0.4504 0.7500
8 Ga 0.3217 0.3217 0.0000
9 Ga 0.3217 0.3217 0.5000
10 Ga 0.4504 0.1772 0.2500
11 Ga 0.5496 0.8228 0.7500
12 Ga 0.6783 0.6783 0.0000
13 Ga 0.6783 0.6783 0.5000
14 Ga 0.8228 0.5496 0.2500
15 Ga 0.8966 0.1034 0.5862
16 Ga 0.8966 0.1034 0.9138
17 Ru 0.0000 0.5000 0.0000
18 Ru 0.0000 0.5000 0.5000
19 Ru 0.5000 0.0000 0.0000
20 Ru 0.5000 0.0000 0.5000

Properties
The value obtained for the formation energy is -0.317 eV/atom.



# 18
Density functional theory data (PBE) for a relaxed structure of ScGa3Ru.

Lattice parameters (Å, degrees): 4.6969 4.6969 4.6969 90.00 90.00 90.00
Element x y z (fractional)
1 Sc 0.0000 0.0000 0.0000
2 Ga 0.0000 0.5000 0.5000
3 Ga 0.5000 0.0000 0.5000
4 Ga 0.5000 0.5000 0.0000
5 Ru 0.5000 0.5000 0.5000

Properties
The value obtained for the formation energy is -0.065 eV/atom.



# 19
Density functional theory data (PBE) for a relaxed structure of Sc3Ga8Ru4.

Lattice parameters (Å, degrees): 8.7941 8.7941 8.7941 60.00 60.00 60.00
Element x y z (fractional)
1 Sc 0.2206 0.2206 0.7794
2 Sc 0.2206 0.7794 0.2206
3 Sc 0.2206 0.7794 0.7794
4 Sc 0.7794 0.2206 0.2206
5 Sc 0.7794 0.2206 0.7794
6 Sc 0.7794 0.7794 0.2206
7 Ga 0.1290 0.6237 0.6237
8 Ga 0.1524 0.1524 0.1524
9 Ga 0.1524 0.1524 0.5427
10 Ga 0.1524 0.5427 0.1524
11 Ga 0.3763 0.3763 0.3763
12 Ga 0.3763 0.3763 0.8710
13 Ga 0.3763 0.8710 0.3763
14 Ga 0.4573 0.8476 0.8476
15 Ga 0.5427 0.1524 0.1524
16 Ga 0.6237 0.1290 0.6237
17 Ga 0.6237 0.6237 0.1290
18 Ga 0.6237 0.6237 0.6237
19 Ga 0.8476 0.4573 0.8476
20 Ga 0.8476 0.8476 0.4573
21 Ga 0.8476 0.8476 0.8476
22 Ga 0.8710 0.3763 0.3763
23 Ru 0.0000 0.0000 0.0000
24 Ru 0.0000 0.0000 0.5000
25 Ru 0.0000 0.5000 0.0000
26 Ru 0.0000 0.5000 0.5000
27 Ru 0.5000 0.0000 0.0000
28 Ru 0.5000 0.0000 0.5000
29 Ru 0.5000 0.5000 0.0000
30 Ru 0.5000 0.5000 0.5000

Properties
The value obtained for the formation energy is -0.505 eV/atom.



# 20
Density functional theory data (PBE) for a relaxed structure of ScGa3Ru.

Lattice parameters (Å, degrees): 5.0100 5.0100 5.0100 90.00 90.00 90.00
Element x y z (fractional)
1 Sc 0.0000 0.0000 0.0000
2 Ga 0.0000 0.0000 0.5000
3 Ga 0.0000 0.5000 0.0000
4 Ga 0.5000 0.0000 0.0000
5 Ru 0.5000 0.5000 0.5000

Properties
The value obtained for the formation energy is 1.254 eV/atom.



# 21
Density functional theory data (PBE) for a relaxed structure of ScGa4Ru2.

Lattice parameters (Å, degrees): 7.3268 7.3268 7.3268 140.73 140.73 56.75
Element x y z (fractional)
1 Sc 0.0000 0.0000 0.0000
2 Ga 0.0000 0.5000 0.5000
3 Ga 0.2161 0.2161 0.0000
4 Ga 0.5000 0.0000 0.5000
5 Ga 0.7839 0.7839 0.0000
6 Ru 0.4068 0.4068 0.0000
7 Ru 0.5932 0.5932 0.0000

Properties
The value obtained for the formation energy is 0.636 eV/atom.



# 22
Density functional theory data (PBE) for a relaxed structure of ScGaRu.

Lattice parameters (Å, degrees): 5.1409 5.1409 5.1409 118.45 114.78 96.00
Element x y z (fractional)
1 Sc 0.3901 0.1401 0.2500
2 Sc 0.6099 0.8599 0.7500
3 Ga 0.0000 0.0000 0.5000
4 Ga 0.0000 0.5000 0.0000
5 Ru 0.0000 0.5000 0.5000
6 Ru 0.5000 0.5000 0.0000

Properties
The value obtained for the formation energy is -0.590 eV/atom.



# 23
Density functional theory data (PBE) for a relaxed structure of Sc4GaRu5.

Lattice parameters (Å, degrees): 3.1990 3.1990 15.6988 90.00 90.00 90.00
Element x y z (fractional)
1 Sc 0.0000 0.0000 0.1026
2 Sc 0.0000 0.0000 0.3066
3 Sc 0.0000 0.0000 0.6934
4 Sc 0.0000 0.0000 0.8974
5 Ga 0.0000 0.0000 0.5000
6 Ru 0.5000 0.5000 0.0000
7 Ru 0.5000 0.5000 0.2052
8 Ru 0.5000 0.5000 0.4119
9 Ru 0.5000 0.5000 0.5881
10 Ru 0.5000 0.5000 0.7948

Properties
The value obtained for the formation energy is -0.497 eV/atom.



| no. | total magnetic moment (μB per formula unit) |
| --- | --- |
| 1 | 0.005 |
| 2 | 0.000 |
| 3 | 0.000 |
| 4 | 0.000 |
| 5 | 0.000 |
| 6 | 0.001 |
| 7 | 0.000 |
| 8 | 0.000 |
| 9 | 0.000 |
| 10 | 0.000 |
| 11 | 0.000 |
| 12 | 0.000 |
| 13 | 0.000 |
| 14 | 0.000 |
| 15 | 0.002 |
| 16 | 1.209 |
| 17 | 0.000 |
| 18 | 0.000 |
| 19 | 0.000 |
| 20 | 2.253 |
| 21 | 2.474 |
| 22 | 0.000 |
| 23 | 0.000 |